Entry 1:
! TaTiPt6, relaxed, DFT PBE; values from VASP
&SYSTEM
  ibrav = 0, nat = 8, ntyp = 3
/
ATOMIC_SPECIES
Pt 195.08 Pt.upf
Ti 47.87 Ti.upf
Ta 180.95 Ta.upf
ATOMIC_POSITIONS angstrom
Pt 1.9891 0.0000 1.9839
Pt 0.0000 1.9891 5.9626
Pt 1.9891 1.9891 0.0000
Ti 0.0000 0.0000 3.9733
Pt 1.9891 0.0000 5.9626
Pt 1.9891 1.9891 3.9733
Ta 0.0000 0.0000 0.0000
Pt 0.0000 1.9891 1.9839
CELL_PARAMETERS angstrom
3.9781 0.0000 0.0000
0.0000 3.9781 0.0000
0.0000 0.0000 7.9466
! - theoretical density (g/cm³) = 18.5
! - raw total energy (eV/atom) = -7.724
! - DFT formation energy (eV per atom) = -0.73
! - Fermi-level density of states (states/eV per cell) = 6.042

Entry 2:
! CaMgZn11, relaxed, DFT PBE; values from VASP
&SYSTEM
  ibrav = 0, nat = 13, ntyp = 3
/
ATOMIC_SPECIES
Zn 65.41 Zn.upf
Mg 24.30 Mg.upf
Ca 40.08 Ca.upf
ATOMIC_POSITIONS angstrom
Zn 3.0472 1.4039 6.5998
Zn 5.6066 5.0778 7.6661
Zn 3.3357 4.1824 5.7633
Zn 1.0172 2.2613 4.7974
Zn 4.1853 2.2802 4.2074
Zn 1.9144 1.3849 2.3046
Zn 4.4738 5.0588 3.3709
Zn 0.0314 0.0095 3.4317
Zn 1.2390 3.2029 0.5162
Mg 3.7291 3.2218 1.5536
Ca 0.0000 0.0000 0.0000
Zn 2.5215 0.0285 4.4691
Zn 6.5038 4.2014 5.1733
CELL_PARAMETERS angstrom
4.9801 0.0379 2.0748
2.4781 6.4057 1.0324
0.0628 0.0190 6.8635
! - theoretical density (g/cm³) = 6.0
! - raw total energy (eV/atom) = -1.469
! - DFT formation energy (eV per atom) = -0.11
! - Fermi-level density of states (states/eV per cell) = 3.224